[1]
This record from Alexandria describes a relaxed CrTcSn2N crystal. The functional is GGA-PBE.

Unit cell a=5.0239 b=5.0239 c=4.3261 alpha=90.00 beta=90.00 gamma=90.00
Closest atoms and distances in Å follow each position.
Space group P4/mmm (No. 123)
Symmetry-distinct sites (fractional):
Cr: 0.0000 0.0000 0.0000 x1  2 Tc 2.16
Tc: 0.0000 0.0000 0.5000 x1  2 Cr 2.16
Sn: 0.0000 0.5000 0.0000 x2  2 Cr 2.51
N: 0.5000 0.5000 0.5000 x1  8 Sn 3.31, 4 Tc 3.55

## Properties
raw formation energy	1618	meV/atom
N(E_F)	0.734	states/eV per atom

---

[2]
This record from Alexandria describes a relaxed Tb12InFe6 crystal. The functional is GGA-PBE.

Unit cell a=9.7495 b=9.7495 c=9.7495 alpha=90.00 beta=90.00 gamma=90.00
Closest atoms and distances in Å follow each position.
Space group Im-3 (No. 204)
Symmetry-distinct sites (fractional):
Tb: 0.0000 0.2986 0.1949 x24  3 Fe 2.74-2.93
In: 0.0000 0.0000 0.0000 x2  12 Tb 3.48
Fe: 0.0000 0.1092 0.5000 x12  1 Fe 2.13

## Properties
formation energy from the elements	-127	kJ/mol of formula units
N(E_F)	0.949	states/eV per atom

---

[3]
This record from Alexandria describes a relaxed BaFe3As crystal. The functional is GGA-PBE.

Unit cell a=4.9211 b=4.9211 c=4.9211 alpha=90.00 beta=90.00 gamma=90.00
Closest atoms and distances in Å follow each position.
Space group Pm-3m (No. 221)
Symmetry-distinct sites (fractional):
Ba: 0.0000 0.0000 0.0000 x1  6 Fe 2.46
Fe: 0.0000 0.0000 0.5000 x3  2 Ba 2.46
As: 0.5000 0.5000 0.5000 x1  12 Fe 3.48

## Properties
formation energy from the elements	1105	kJ/mol of formula units
energy above the most stable polymorph in this dataset	1479.9	meV/atom
N(E_F)	1.433	states/eV per atom

---

[4]
This record from Alexandria describes a relaxed TbErPb crystal. The functional is GGA-PBE.

Unit cell a=6.4453 b=6.4453 c=8.5612 alpha=90.00 beta=90.04 gamma=90.00
Closest atoms and distances in Å follow each position.
Space group C2/m (No. 12)
Symmetry-distinct sites (fractional):
Tb: 0.2494 0.0000 0.1588 x4  5 Pb 3.22-3.26
Er: 0.0000 0.2500 0.5000 x4  4 Er 3.22, 4 Pb 3.32-3.33
Pb: 0.2493 0.5000 0.2173 x4  5 Tb 3.22-3.26, 4 Er 3.32-3.33

## Properties
formation energy from the elements	-122	kJ/mol of formula units
energy above the most stable polymorph in this dataset	0.0	meV/atom
N(E_F)	0.648	states/eV per atom

---

[5]
This record from Alexandria describes a relaxed Pm4HoCo crystal. The functional is GGA-PBE.

Unit cell a=17.6979 b=7.2960 c=5.9878 alpha=90.00 beta=109.76 gamma=90.00
Closest atoms and distances in Å follow each position.
Space group C2/m (No. 12)
Symmetry-distinct sites (fractional):
Pm: 0.0000 0.2325 0.0000 x4  2 Co 2.70
Pm: 0.1190 0.2479 0.6194 x8  2 Co 2.92-2.93
Pm: 0.1752 0.5000 0.1750 x4  2 Co 3.46-3.47, 6 Pm 3.51-3.64, 4 Ho 3.67-3.68
Ho: 0.1967 0.0000 0.1974 x4  12 Pm 3.58-3.73
Co: 0.9996 0.5000 0.3113 x4  1 Co 2.26

## Properties
formation energy from the elements	7	kJ/mol of formula units
N(E_F)	1.420	states/eV per atom

---

[6]
This record from Alexandria describes a relaxed Rb4U3SnO12 crystal. The functional is GGA-PBE.

Unit cell a=8.8160 b=8.8160 c=8.8160 alpha=90.00 beta=90.00 gamma=90.00
Closest atoms and distances in Å follow each position.
Space group Im-3m (No. 229)
Symmetry-distinct sites (fractional):
Rb: 0.2500 0.2500 0.2500 x8  12 O 3.12-3.13
U: 0.0000 0.0000 0.5000 x6  2 O 1.96
Sn: 0.0000 0.0000 0.0000 x2  6 O 2.45
O: 0.0000 0.0000 0.2776 x12  1 U 1.96
O: 0.0000 0.2500 0.5000 x12  2 U 2.20

## Properties
raw formation energy	-2608	meV/atom

---

[7]
This record from Alexandria describes a relaxed Ga2PS2 crystal. The functional is GGA-PBE.

Unit cell a=7.3905 b=7.3905 c=3.5917 alpha=90.00 beta=90.00 gamma=90.00
Closest atoms and distances in Å follow each position.
Space group P4/mbm (No. 127)
Symmetry-distinct sites (fractional):
Ga: 0.1204 0.3796 0.0000 x4  2 S 2.35, 1 Ga 2.52
P: 0.0000 0.0000 0.5000 x2  4 S 2.62
S: 0.2342 0.7342 0.5000 x4  2 Ga 2.35, 2 P 2.62

## Properties
energy above the most stable polymorph in this dataset	0.0	meV/atom
raw formation energy	154	meV/atom
N(E_F)	0.507	states/eV per atom

---

[8]
This record from Alexandria describes a relaxed ZrTl2Rh crystal. The functional is GGA-PBE.

Unit cell a=3.3863 b=3.3863 c=7.1271 alpha=90.00 beta=90.00 gamma=90.00
Closest atoms and distances in Å follow each position.
Space group P4/mmm (No. 123)
Symmetry-distinct sites (fractional):
Zr: 0.0000 0.0000 0.0000 x1  8 Tl 3.10, 4 Zr 3.39
Tl: 0.5000 0.5000 0.2766 x2  4 Rh 2.88, 4 Zr 3.10, 1 Tl 3.18
Rh: 0.0000 0.0000 0.5000 x1  8 Tl 2.88

## Properties
formation energy from the elements	4	kJ/mol of formula units
N(E_F)	0.663	states/eV per atom

---

[9]
This record from Alexandria describes a relaxed Cd2In2H crystal. The functional is GGA-PBE.

Unit cell a=6.0635 b=6.0635 c=5.8501 alpha=90.00 beta=90.00 gamma=90.00
Closest atoms and distances in Å follow each position.
Space group P4/mbm (No. 127)
Symmetry-distinct sites (fractional):
Cd: 0.1748 0.3252 0.0000 x4  2 H 2.24
In: 0.1850 0.6850 0.5000 x4  5 In 3.13-3.17, 2 Cd 3.16
H: 0.0000 0.0000 0.0000 x2  4 Cd 2.24

## Properties
energy above the most stable polymorph in this dataset	12.6	meV/atom
N(E_F)	0.393	states/eV per atom

---

[10]
This record from Alexandria describes a relaxed Mn3P crystal. The functional is GGA-PBE.

Unit cell a=2.7378 b=2.7378 c=5.7762 alpha=90.00 beta=90.00 gamma=90.00
Closest atoms and distances in Å follow each position.
Space group P4/mmm (No. 123)
Symmetry-distinct sites (fractional):
Mn: 0.0000 0.0000 0.0000 x1  12 Mn 2.49-2.74
Mn: 0.5000 0.5000 0.2724 x2  4 P 2.34, 4 Mn 2.49
P: 0.0000 0.0000 0.5000 x1  8 Mn 2.34

## Properties
formation energy from the elements	-71	kJ/mol of formula units
N(E_F)	0.877	states/eV per atom

---

[11]
This record from Alexandria describes a relaxed Nd10YTm4 crystal. The functional is GGA-PBE.

Unit cell a=10.0178 b=10.0178 c=10.8467 alpha=90.00 beta=90.00 gamma=90.00
Closest atoms and distances in Å follow each position.
Space group I4/m (No. 87)
Symmetry-distinct sites (fractional):
Nd: 0.0000 0.5000 0.2500 x4  4 Nd 3.12
Nd: 0.1200 0.7723 0.1665 x16  2 Nd 3.12-3.20, 1 Y 3.15
Y: 0.0000 0.0000 0.0000 x2  8 Nd 3.15
Tm: 0.0552 0.7210 0.5000 x8  8 Nd 3.54-3.88

## Properties
formation energy from the elements	633	kJ/mol of formula units
N(E_F)	1.600	states/eV per atom

---

[12]
This record from Alexandria describes a relaxed Ca3Si3Pd2 crystal. The functional is GGA-PBE.

Unit cell a=8.2395 b=14.3526 c=5.6844 alpha=90.00 beta=90.00 gamma=90.00
Closest atoms and distances in Å follow each position.
Space group Pnma (No. 62)
Symmetry-distinct sites (fractional):
Ca: 0.0499 0.1151 0.1191 x8  4 Pd 3.03-3.34, 6 Si 3.05-3.33
Ca: 0.2008 0.2500 0.6051 x4  5 Si 2.98-3.22, 4 Pd 3.29-3.31
Si: 0.1488 0.7500 0.5824 x4  2 Pd 2.59
Si: 0.1961 0.0396 0.6306 x8  3 Pd 2.43-2.49
Pd: 0.0854 0.5904 0.3893 x8  4 Si 2.43-2.59

## Properties
raw formation energy	-634	meV/atom
N(E_F)	0.610	states/eV per atom

---

[13]
This record from Alexandria describes a relaxed Li2MgTa crystal. The functional is GGA-PBE.

Unit cell a=9.9119 b=2.6537 c=5.6535 alpha=90.00 beta=95.23 gamma=90.00
Closest atoms and distances in Å follow each position.
Space group Cm (No. 8)
Symmetry-distinct sites (fractional):
Li: 0.0000 0.0000 0.0000 x2  3 Li 2.65-2.96
Li: 0.2500 0.0000 0.7522 x2  3 Li 2.65-2.96, 1 Ta 2.94
Mg: 0.2506 0.5000 0.2637 x2  2 Mg 2.65, 1 Ta 2.96
Ta: 0.4982 0.0000 0.5047 x2  2 Ta 2.65, 1 Li 2.94, 1 Mg 2.96

## Properties
formation energy from the elements	162	kJ/mol of formula units
N(E_F)	0.841	states/eV per atom

---

[14]
This record from Alexandria describes a relaxed Sm4Dy2Bi3N2 crystal. The functional is GGA-PBE.

Unit cell a=4.7802 b=4.7802 c=26.0436 alpha=90.00 beta=90.00 gamma=90.00
Closest atoms and distances in Å follow each position.
Space group I4/mmm (No. 139)
Symmetry-distinct sites (fractional):
Sm: 0.0000 0.5000 0.0850 x8  2 N 2.45
Dy: 0.0000 0.0000 0.1904 x4  1 N 2.19
Bi: 0.0000 0.0000 0.3174 x4  5 Dy 3.31-3.39, 4 Sm 3.49
Bi: 0.0000 0.0000 0.5000 x2  8 Sm 3.26
N: 0.0000 0.0000 0.1061 x4  1 Dy 2.19, 4 Sm 2.45

## Properties
raw formation energy	-1013	meV/atom
N(E_F)	0.343	states/eV per atom

---

[15]
This record from Alexandria describes a relaxed Sr6Bi2PI3 crystal. The functional is GGA-PBE.

Unit cell a=8.3326 b=14.4523 c=8.4285 alpha=90.00 beta=109.14 gamma=90.00
Closest atoms and distances in Å follow each position.
Space group C2/m (No. 12)
Symmetry-distinct sites (fractional):
Sr: 0.2234 0.1551 0.2052 x8  1 P 3.06, 2 Bi 3.31
Sr: 0.2432 0.0000 0.7955 x4  1 P 3.06, 2 Bi 3.31
Bi: 0.0000 0.3329 0.0000 x4  6 Sr 3.31
P: 0.0000 0.0000 0.0000 x2  6 Sr 3.06
I: 0.0000 0.1637 0.5000 x4  6 Sr 3.55-3.82
I: 0.0000 0.5000 0.5000 x2  6 Sr 3.57-3.78

## Properties
raw formation energy	-1286	meV/atom

---

[16]
This record from Alexandria describes a relaxed K2Cu crystal. The functional is GGA-PBE.

Unit cell a=10.2557 b=10.2557 c=10.2557 alpha=90.00 beta=90.00 gamma=90.00
Closest atoms and distances in Å follow each position.
Space group Fd-3m (No. 227, origin choice 2)
Symmetry-distinct sites (fractional):
K: 0.0000 0.0000 0.0000 x16  6 K 3.63
Cu: 0.1250 0.1250 0.6250 x8  12 K 4.25, 4 Cu 4.44

## Properties
formation energy from the elements	205	kJ/mol of formula units
energy above the most stable polymorph in this dataset	398.4	meV/atom
N(E_F)	0.346	states/eV per atom

---

[17]
This record from Alexandria describes a relaxed Si2AuI crystal. The functional is GGA-PBE.

Unit cell a=6.9433 b=6.9433 c=6.9433 alpha=90.00 beta=90.00 gamma=90.00
Closest atoms and distances in Å follow each position.
Space group Fm-3m (No. 225)
Symmetry-distinct sites (fractional):
Si: 0.2500 0.2500 0.2500 x8  4 I 3.01, 4 Au 3.01
Au: 0.0000 0.0000 0.0000 x4  8 Si 3.01
I: 0.0000 0.0000 0.5000 x4  8 Si 3.01

## Properties
energy above the most stable polymorph in this dataset	407.1	meV/atom
raw formation energy	817	meV/atom
N(E_F)	0.647	states/eV per atom